Compound: Ba2ZrUSe6
Source: the Alexandria database
Functional: PBE-GGA
Structure: optimized geometry

Summary:
Energy = -119.5 eV per cell
Raw formation energy = -1.519 eV/atom
M_tot = 4.0 Bohr magnetons per cell
DOS at the Fermi energy = 12.992 states/eV per cell

Cell lengths 7.582, 7.649, 10.768 Å; angles 90.00, 90.00, 90.00 degrees
Fractional positions:
1 Ba 0.500 0.770 0.239
2 Ba 0.000 0.230 0.739
3 Ba 0.500 0.770 0.761
4 Ba 0.000 0.230 0.261
5 Zr 0.500 0.248 0.500
6 Zr 0.000 0.752 0.000
7 U 0.000 0.744 0.500
8 U 0.500 0.256 0.000
9 Se 0.500 0.240 0.253
10 Se 0.500 0.240 0.747
11 Se 0.000 0.760 0.247
12 Se 0.000 0.760 0.753
13 Se 0.254 0.998 0.500
14 Se 0.746 0.998 0.500
15 Se 0.250 0.489 0.500
16 Se 0.750 0.489 0.500
17 Se 0.750 0.511 0.000
18 Se 0.250 0.511 0.000
19 Se 0.246 0.002 0.000
20 Se 0.754 0.002 0.000



Compound: BaVSe3
Source: the Alexandria database
Functional: PBE-GGA
Structure: optimized geometry

Summary:
Energy = -26.8 eV per cell
Raw formation energy = -1.062 eV/atom
M_tot = 1.0 Bohr magnetons per cell
DOS at the Fermi energy = 4.014 states/eV per cell

Cell lengths 5.012, 5.012, 5.012 Å; angles 90.00, 90.00, 90.00 degrees
Fractional positions:
1 Ba 0.500 0.500 0.500
2 Se 0.000 0.500 0.000
3 Se 0.000 0.000 0.500
4 Se 0.500 0.000 0.000
5 V 0.000 0.000 0.000